Entry 1:
A plane-wave DFT calculation with PBE was carried out for HoTmS after structural relaxation.

## Properties
- raw formation energy (meV/atom) = -1268
- crystal system = trigonal
- symmetry = P3m1, No. 156
- density of states at the Fermi level (states/eV per cell) = 3.0
- E (eV for the cell shown) = -16.980

```
HoTmS
1.0
3.730 0.000 0.000
-1.865 3.230 0.000
0.000 0.000 6.228
Ho Tm S
1 1 1
Cartesian
0.000 0.000 0.000 Ho
1.865 1.077 2.905 Tm
0.000 2.153 4.548 S
```


Entry 2:
A plane-wave DFT calculation with PBE was carried out for Th3FeTe after structural relaxation.

## Properties
- raw formation energy (meV/atom) = -341
- crystal system = triclinic
- symmetry = P-1, No. 2
- density of states at the Fermi level (states/eV per cell) = 10.7
- E (eV for the cell shown) = -71.143

```
Th3FeTe
1.0
6.887 0.000 0.000
3.430 5.979 0.000
3.424 2.001 7.682
Th Fe Te
6 2 2
Cartesian
2.879 3.088 2.333 Th
7.526 7.011 5.350 Th
6.366 4.913 2.330 Th
7.374 3.066 5.352 Th
6.215 0.969 2.332 Th
10.861 4.892 5.349 Th
5.152 2.990 3.779 Fe
8.589 4.990 3.903 Fe
1.721 0.998 0.091 Te
12.019 6.982 7.591 Te
```